First-principles (PBE-GGA) data for a relaxed MnSiAs crystal, as listed in the Alexandria database.

Results
space group: No. 156
total magnetization: 0.00 μB/atom
formation energy (no corrections): 0.00 eV per atom

Cell: 2.985 2.985 5.425 Å, 90.00 90.00 120.00°
Fractional coordinates of all 3 atoms:
Mn 0.000 0.000 0.000
Si 0.667 0.333 0.298
As 0.333 0.667 0.691

First-principles (PBE-GGA) data for a relaxed MnSiAs crystal, as listed in the Alexandria database.

Results
space group: No. 187
total magnetization: 0.00 μB/atom
formation energy (no corrections): 0.03 eV per atom

Cell: 2.972 2.972 11.843 Å, 90.00 90.00 120.00°
Fractional coordinates of all 6 atoms:
Mn 0.000 0.000 0.136
Mn 0.000 0.000 0.864
Si 0.667 0.333 0.000
Si 0.667 0.333 0.500
As 0.667 0.333 0.276
As 0.667 0.333 0.724

First-principles (PBE-GGA) data for a relaxed MnSiAs crystal, as listed in the Alexandria database.

Results
space group: No. 107
total magnetization: 0.59 μB/atom
formation energy (no corrections): 0.05 eV per atom

Cell: 4.552 4.552 4.552 Å, 138.31 138.31 60.43°
Fractional coordinates of all 3 atoms:
Mn 0.000 0.000 0.000
Si 0.345 0.345 0.000
As 0.665 0.665 0.000

First-principles (PBE-GGA) data for a relaxed Mn2SiAs2 crystal, as listed in the Alexandria database.

Results
space group: No. 139
total magnetization: 0.00 μB/atom
formation energy (no corrections): 0.31 eV per atom

Cell: 5.300 5.300 5.300 Å, 133.47 133.47 67.91°
Fractional coordinates of all 5 atoms:
Mn 0.250 0.750 0.500
Mn 0.750 0.250 0.500
Si 0.000 0.000 0.000
As 0.364 0.364 0.000
As 0.636 0.636 0.000

First-principles (PBE-GGA) data for a relaxed Mn2Si2As crystal, as listed in the Alexandria database.

Results
space group: No. 127
total magnetization: 0.64 μB/atom
formation energy (no corrections): -0.06 eV per atom

Cell: 7.095 7.095 2.650 Å, 90.00 90.00 90.00°
Fractional coordinates of all 10 atoms:
Mn 0.152 0.348 0.000
Mn 0.348 0.848 0.000
Mn 0.652 0.152 0.000
Mn 0.848 0.652 0.000
Si 0.139 0.639 0.500
Si 0.361 0.139 0.500
Si 0.639 0.861 0.500
Si 0.861 0.361 0.500
As 0.000 0.000 0.000
As 0.500 0.500 0.000

First-principles (PBE-GGA) data for a relaxed MnSiAs crystal, as listed in the Alexandria database.

Results
space group: No. 107
total magnetization: 0.00 μB/atom
formation energy (no corrections): 0.11 eV per atom

Cell: 5.788 5.788 5.788 Å, 151.57 151.57 40.65°
Fractional coordinates of all 3 atoms:
Mn 0.000 0.000 0.000
Si 0.625 0.625 0.000
As 0.361 0.361 0.000

First-principles (PBE-GGA) data for a relaxed SmMnAs2 crystal, as listed in the Alexandria database.

Results
space group: No. 139
calculated formation energy: -0.79 eV/atom
total magnetization: 0.48 μB/atom

Cell: 10.642 10.642 10.642 Å, 158.96 158.96 29.93°
Fractional coordinates of all 8 atoms:
Sm 0.115 0.115 0.000
Sm 0.885 0.885 0.000
Mn 0.250 0.750 0.500
Mn 0.750 0.250 0.500
As 0.000 0.500 0.500
As 0.323 0.323 0.000
As 0.500 0.000 0.500
As 0.677 0.677 0.000

First-principles (PBE-GGA) data for a relaxed SmMnAs3 crystal, as listed in the Alexandria database.

Results
space group: No. 57
calculated formation energy: -0.69 eV/atom
total magnetization: 0.48 μB/atom

Cell: 12.305 5.698 5.591 Å, 90.00 90.00 90.00°
Fractional coordinates of all 20 atoms:
Sm 0.189 0.004 0.250
Sm 0.189 0.496 0.750
Sm 0.811 0.504 0.250
Sm 0.811 0.996 0.750
Mn 0.415 0.750 0.000
Mn 0.415 0.750 0.500
Mn 0.585 0.250 0.000
Mn 0.585 0.250 0.500
As 0.001 0.750 0.000
As 0.001 0.750 0.500
As 0.285 0.504 0.250
As 0.285 0.996 0.750
As 0.433 0.109 0.250
As 0.433 0.391 0.750
As 0.567 0.609 0.250
As 0.567 0.891 0.750
As 0.715 0.004 0.250
As 0.715 0.496 0.750
As 0.999 0.250 0.000
As 0.999 0.250 0.500

First-principles (PBE-GGA) data for a relaxed MnSn3As crystal, as listed in the Alexandria database.

Results
space group: No. 221
calculated formation energy: 1.34 eV/atom
total magnetization: 0.04 μB/atom

Cell: 5.254 5.254 5.254 Å, 90.00 90.00 90.00°
Fractional coordinates of all 5 atoms:
Mn 0.000 0.000 0.000
Sn 0.000 0.500 0.500
Sn 0.500 0.000 0.500
Sn 0.500 0.500 0.000
As 0.500 0.500 0.500

First-principles (PBE-GGA) data for a relaxed Mn3SnAs crystal, as listed in the Alexandria database.

Results
space group: No. 221
calculated formation energy: 0.42 eV/atom
total magnetization: 2.13 μB/atom

Cell: 4.756 4.756 4.756 Å, 90.00 90.00 90.00°
Fractional coordinates of all 5 atoms:
Mn 0.000 0.000 0.500
Mn 0.000 0.500 0.000
Mn 0.500 0.000 0.000
Sn 0.500 0.500 0.500
As 0.000 0.000 0.000

First-principles (PBE-GGA) data for a relaxed MnSn2As2 crystal, as listed in the Alexandria database.

Results
space group: No. 127
calculated formation energy: 0.17 eV/atom
total magnetization: 0.00 μB/atom

Cell: 6.224 6.224 5.351 Å, 90.00 90.00 90.00°
Fractional coordinates of all 10 atoms:
Mn 0.000 0.000 0.000
Mn 0.500 0.500 0.000
Sn 0.190 0.310 0.500
Sn 0.310 0.810 0.500
Sn 0.690 0.190 0.500
Sn 0.810 0.690 0.500
As 0.148 0.648 0.000
As 0.352 0.148 0.000
As 0.648 0.852 0.000
As 0.852 0.352 0.000

First-principles (PBE-GGA) data for a relaxed MnSnAs2 crystal, as listed in the Alexandria database.

Results
space group: No. 160
calculated formation energy: 0.01 eV/atom
total magnetization: 0.58 μB/atom

Cell: 9.015 9.015 9.015 Å, 20.71 20.71 20.71°
Fractional coordinates of all 4 atoms:
Mn 0.000 0.000 0.000
Sn 0.170 0.170 0.170
As 0.395 0.395 0.395
As 0.605 0.605 0.605

First-principles (PBE-GGA) data for a relaxed MnSn3As crystal, as listed in the Alexandria database.

Results
space group: No. 221
calculated formation energy: 0.32 eV/atom
total magnetization: 0.40 μB/atom

Cell: 5.091 5.091 5.091 Å, 90.00 90.00 90.00°
Fractional coordinates of all 5 atoms:
Mn 0.000 0.000 0.000
Sn 0.000 0.000 0.500
Sn 0.000 0.500 0.000
Sn 0.500 0.000 0.000
As 0.500 0.500 0.500

First-principles (PBE-GGA) data for a relaxed MnSn2As crystal, as listed in the Alexandria database.

Results
space group: No. 122
calculated formation energy: 0.35 eV/atom
total magnetization: 0.99 μB/atom

Cell: 7.403 7.403 7.403 Å, 128.28 128.28 76.17°
Fractional coordinates of all 8 atoms:
Mn 0.000 0.000 0.000
Mn 0.750 0.250 0.500
Sn 0.125 0.625 0.000
Sn 0.375 0.375 0.500
Sn 0.625 0.125 0.000
Sn 0.875 0.875 0.500
As 0.250 0.750 0.500
As 0.500 0.500 0.000

First-principles (PBE-GGA) data for a relaxed MnSnAs2 crystal, as listed in the Alexandria database.

Results
space group: No. 166
calculated formation energy: 0.46 eV/atom
total magnetization: 0.95 μB/atom

Cell: 10.671 10.671 10.671 Å, 16.45 16.45 16.45°
Fractional coordinates of all 4 atoms:
Mn 0.000 0.000 0.000
Sn 0.500 0.500 0.500
As 0.078 0.078 0.078
As 0.922 0.922 0.922

First-principles (PBE-GGA) data for a relaxed SrMn2As crystal, as listed in the Alexandria database.

Results
space group: No. 119
calculated formation energy: 0.36 eV/atom
total magnetization: 1.88 μB/atom

Cell: 5.348 5.348 5.348 Å, 131.72 131.72 70.66°
Fractional coordinates of all 4 atoms:
Sr 0.000 0.000 0.000
Mn 0.500 0.500 0.000
Mn 0.750 0.250 0.500
As 0.250 0.750 0.500

First-principles (PBE-GGA) data for a relaxed SrMn2As crystal, as listed in the Alexandria database.

Results
space group: No. 47
calculated formation energy: 0.19 eV/atom
total magnetization: 0.53 μB/atom

Cell: 4.180 4.350 5.013 Å, 90.00 90.00 90.00°
Fractional coordinates of all 4 atoms:
Sr 0.000 0.000 0.000
Mn 0.500 0.220 0.500
Mn 0.500 0.780 0.500
As 0.000 0.500 0.500

First-principles (PBE-GGA) data for a relaxed SrMn2As crystal, as listed in the Alexandria database.

Results
space group: No. 71
calculated formation energy: 0.22 eV/atom
total magnetization: 1.88 μB/atom

Cell: 5.931 5.931 5.931 Å, 147.17 127.99 62.88°
Fractional coordinates of all 4 atoms:
Sr 0.000 0.000 0.000
Mn 0.300 0.800 0.500
Mn 0.700 0.200 0.500
As 0.500 0.500 0.000

First-principles (PBE-GGA) data for a relaxed SrMn3As crystal, as listed in the Alexandria database.

Results
space group: No. 221
calculated formation energy: 0.36 eV/atom
total magnetization: 2.01 μB/atom

Cell: 4.787 4.787 4.787 Å, 90.00 90.00 90.00°
Fractional coordinates of all 5 atoms:
Sr 0.000 0.000 0.000
Mn 0.000 0.500 0.500
Mn 0.500 0.000 0.500
Mn 0.500 0.500 0.000
As 0.500 0.500 0.500

First-principles (PBE-GGA) data for a relaxed SrMn2As crystal, as listed in the Alexandria database.

Results
space group: No. 99
calculated formation energy: 0.07 eV/atom
total magnetization: 1.77 μB/atom

Cell: 3.402 3.402 7.145 Å, 90.00 90.00 90.00°
Fractional coordinates of all 4 atoms:
Sr 0.000 0.000 0.000
Mn 0.000 0.000 0.469
Mn 0.500 0.500 0.668
As 0.500 0.500 0.319

First-principles (PBE-GGA) data for a relaxed SrMnAs2 crystal, as listed in the Alexandria database.

Results
space group: No. 216
calculated formation energy: 0.16 eV/atom
total magnetization: 0.96 μB/atom

Cell: 5.016 5.016 5.016 Å, 60.00 60.00 60.00°
Fractional coordinates of all 4 atoms:
Sr 0.000 0.000 0.000
Mn 0.250 0.250 0.250
As 0.500 0.500 0.500
As 0.750 0.750 0.750

First-principles (PBE-GGA) data for a relaxed Sr4MnAs crystal, as listed in the Alexandria database.

Results
space group: No. 216
calculated formation energy: 0.68 eV/atom
total magnetization: 0.55 μB/atom

Cell: 6.939 6.939 6.939 Å, 60.00 60.00 60.00°
Fractional coordinates of all 6 atoms:
Sr 0.125 0.125 0.125
Sr 0.125 0.125 0.624
Sr 0.125 0.624 0.125
Sr 0.624 0.125 0.125
Mn 0.750 0.750 0.750
As 0.500 0.500 0.500

First-principles (PBE-GGA) data for a relaxed SrMn2As crystal, as listed in the Alexandria database.

Results
space group: No. 216
calculated formation energy: 0.37 eV/atom
total magnetization: 2.03 μB/atom

Cell: 4.941 4.941 4.941 Å, 60.00 60.00 60.00°
Fractional coordinates of all 4 atoms:
Sr 0.000 0.000 0.000
Mn 0.250 0.250 0.250
Mn 0.500 0.500 0.500
As 0.750 0.750 0.750

First-principles (PBE-GGA) data for a relaxed SrMn2As crystal, as listed in the Alexandria database.

Results
space group: No. 123
calculated formation energy: 0.30 eV/atom
total magnetization: 2.07 μB/atom

Cell: 4.332 4.332 4.625 Å, 90.00 90.00 90.00°
Fractional coordinates of all 4 atoms:
Sr 0.000 0.000 0.000
Mn 0.000 0.500 0.500
Mn 0.500 0.000 0.500
As 0.500 0.500 0.000

First-principles (PBE-GGA) data for a relaxed SrMnAs3 crystal, as listed in the Alexandria database.

Results
space group: No. 221
calculated formation energy: 1.21 eV/atom
total magnetization: 0.96 μB/atom

Cell: 5.538 5.538 5.538 Å, 90.00 90.00 90.00°
Fractional coordinates of all 5 atoms:
Sr 0.000 0.000 0.000
Mn 0.500 0.500 0.500
As 0.000 0.000 0.500
As 0.000 0.500 0.000
As 0.500 0.000 0.000

First-principles (PBE-GGA) data for a relaxed SrMnAs2 crystal, as listed in the Alexandria database.

Results
space group: No. 99
calculated formation energy: -0.20 eV/atom
total magnetization: 0.79 μB/atom

Cell: 3.784 3.784 6.966 Å, 90.00 90.00 90.00°
Fractional coordinates of all 4 atoms:
Sr 0.000 0.000 0.000
Mn 0.500 0.500 0.545
As 0.000 0.000 0.544
As 0.500 0.500 0.205

First-principles (PBE-GGA) data for a relaxed SrMn2As crystal, as listed in the Alexandria database.

Results
space group: No. 141
calculated formation energy: 0.11 eV/atom
total magnetization: 1.58 μB/atom

Cell: 9.221 9.221 9.221 Å, 149.72 149.72 43.36°
Fractional coordinates of all 8 atoms:
Sr 0.375 0.625 0.750
Sr 0.625 0.375 0.250
Mn 0.000 0.000 0.000
Mn 0.000 0.000 0.500
Mn 0.000 0.500 0.000
Mn 0.500 0.000 0.500
As 0.125 0.875 0.250
As 0.875 0.125 0.750